Material: HoTlPd
Method: DFT, GGA-PBE
State: relaxed

Cell: 3.7292 7.9068 13.7882 Å, 90.00 90.00 90.00°
Fractional positions:
Ho (0.0000, 0.2210, 0.9492)
Ho (0.0000, 0.8346, 0.7500)
Ho (0.0000, 0.7790, 0.4492)
Ho (0.0000, 0.1654, 0.2500)
Ho (0.0000, 0.2210, 0.5508)
Ho (0.0000, 0.7790, 0.0508)
Pd (0.5000, 0.9335, 0.9064)
Pd (0.5000, 0.9335, 0.5936)
Pd (0.5000, 0.0665, 0.4064)
Pd (0.0000, 0.5534, 0.2500)
Pd (0.0000, 0.4466, 0.7500)
Pd (0.5000, 0.0665, 0.0936)
Tl (0.5000, 0.1770, 0.7500)
Tl (0.5000, 0.5697, 0.8901)
Tl (0.5000, 0.5697, 0.6099)
Tl (0.5000, 0.4303, 0.1099)
Tl (0.5000, 0.8230, 0.2500)
Tl (0.5000, 0.4303, 0.3901)

Calculated values
magnetic moment = 0.00 μB per formula unit
polymorph energy (0 for the lowest one) = 0.010 eV per atom
formation energy from the elements = -0.64 eV per atom